[1]
VASP calculation (GGA-PBE) on an optimized crystal structure of KPu2PtS4.

Summary:
**Crystal system**: orthorhombic
**Symmetry**: Cmcm
**Energy relative to the elements, uncorrected**: -1.357 eV/atom
**DOS at the Fermi energy**: 2.035 states/eV/atom
**Magnetic moment**: 9.160 μB/f.u.

The structure in extended XYZ format:
```
16
Lattice="2.0001 -6.7810 0.0000 2.0001 6.7810 0.0000 0.0000 0.0000 13.8088" Properties=species:S:1:pos:R:3 pbc="T T T"
K 2.0001 5.2738 10.3566
K 2.0001 -5.2738 3.4522
Pu 2.0001 1.8048 7.7864
Pu 2.0001 1.8048 12.9268
Pu 2.0001 -1.8048 0.8820
Pu 2.0001 -1.8048 6.0224
Pt 2.0001 4.5885 3.4522
Pt 2.0001 -4.5885 10.3566
S 0.0000 0.0000 0.0000
S 0.0000 0.0000 6.9044
S 2.0001 3.2045 1.4499
S 2.0001 3.2045 5.4545
S 2.0001 0.8977 10.3566
S 2.0001 -0.8977 3.4522
S 2.0001 -3.2045 8.3542
S 2.0001 -3.2045 12.3589
```

[2]
VASP calculation (GGA-PBE) on an optimized crystal structure of K2PuSb3Pt4.

Summary:
**Crystal system**: tetragonal
**Symmetry**: P-4m2
**Energy relative to the elements, uncorrected**: -0.499 eV/atom
**DOS at the Fermi energy**: 1.251 states/eV/atom
**Magnetic moment**: 5.256 μB/f.u.

The structure in extended XYZ format:
```
10
Lattice="4.7139 0.0000 0.0000 0.0000 4.7139 0.0000 0.0000 0.0000 11.1249" Properties=species:S:1:pos:R:3 pbc="T T T"
K 0.0000 2.3569 2.6171
K 2.3569 0.0000 8.5079
Pu 0.0000 0.0000 5.5625
Sb 0.0000 2.3569 9.7922
Sb 2.3569 0.0000 1.3327
Sb 2.3569 2.3569 5.5625
Pt 0.0000 0.0000 0.0000
Pt 0.0000 2.3569 7.1275
Pt 2.3569 0.0000 3.9974
Pt 2.3569 2.3569 0.0000
```